Material: CaLuNi2
Method: DFT, GGA-PBE
State: relaxed

Properties
Formation enthalpy at 0 K, eV/atom: -0.28
ΔE to the lowest computed polymorph, eV per atom: 0.0000
M_tot, μB/cell: 0.00

Lattice parameters (Å, degrees): 3.340 3.340 6.829 90.00 90.00 90.00
Space group P4/mmm (No. 123)
One atom of each set of equivalent atoms:
Ca 0.000 0.000 0.000 [1 per cell]
Lu 0.000 0.000 0.500 [1 per cell]
Ni 0.500 0.500 0.286 [2 per cell]